Here is a geometry-optimized AcLaNdHo structure from the Alexandria database. Energies are from PBE.

The symmetry is P3m1 (156). The density of states at the Fermi level comes out at 5.25 states/eV/cell. As for the energy relative to the elements: 0.055 eV per atom.

Lattice parameters (Å, degrees): 3.7680 3.7680 12.0657 90.00 90.00 120.00
Positions (direct):
1 Ac 0.0000 0.0000 0.0000
2 La 0.6667 0.3333 0.5095
3 Nd 0.3333 0.6667 0.2597
4 Ho 0.3333 0.6667 0.7498